A plane-wave DFT calculation with GGA-PBE was carried out for a relaxed structure of LiIn2Pd4.

The structure in extended XYZ format:
```
14
Lattice="-4.606 1.941 -4.171 2.341 -3.021 -3.991 -1.394 -6.150 3.838" Properties=species:S:1:pos:R:3 pbc="T T T"
Pd -4.657 -2.121 -3.039
Pd 0.997 -5.109 -1.286
Pd -1.840 -1.876 -3.456
In -1.694 -6.206 1.791
Pd -0.103 -7.555 -0.080
Pd -1.820 -5.354 -0.869
In -2.261 -4.600 -3.582
Pd -2.993 -0.388 -1.490
Pd -0.667 -6.842 -2.834
In -1.966 -1.024 -6.116
Li 0.176 -3.488 -2.995
Pd -3.557 0.325 -4.245
In -1.399 -2.630 -0.743
Li -3.836 -3.742 -1.330
```

* final energy: -61.69 eV for the cell shown
* density of states at the Fermi level: 5.403 states/eV per cell
* calculated formation energy: -2.68 eV/f.u.
* relative energy among the computed polymorphs: 0.0614 eV/atom
* total magnetic moment: 0.00 μB/cell